1.
VASP calculation (PBE-GGA) on K7RbNa5 after structural relaxation.

a = 7.727 Å, b = 13.991 Å, c = 14.283 Å
α = 90.00°, β = 90.00°, γ = 90.00°
Space group Imm2 (No. 44)
One atom of each set of equivalent atoms:
K: 0.000 0.000 0.000 (multiplicity 2)
K: 0.000 0.000 0.312 (multiplicity 2)
K: 0.000 0.304 0.159 (multiplicity 4)
K: 0.000 0.345 0.647 (multiplicity 4)
K: 0.000 0.500 0.931 (multiplicity 2)
Rb: 0.000 0.000 0.673 (multiplicity 2)
Na: 0.000 0.500 0.379 (multiplicity 2)
Na: 0.250 0.240 0.901 (multiplicity 8)

Summary:
Crystal system: orthorhombic
Calculated formation energy: 19.0 meV per atom
Total magnetization: 0.00 μB per formula unit
Mass density: 1.02 Mg/m³

***

2.
VASP calculation (PBE-GGA) on K2RbNa6 after structural relaxation.

a = 12.488 Å, b = 12.488 Å, c = 12.488 Å
α = 90.00°, β = 90.00°, γ = 90.00°
Space group Fm-3m (No. 225)
One atom of each set of equivalent atoms:
K: 0.250 0.250 0.250 (multiplicity 8)
Rb: 0.000 0.000 0.000 (multiplicity 4)
Na: 0.000 0.000 0.300 (multiplicity 24)

Summary:
Crystal system: cubic
Calculated formation energy: 95.4 meV per atom
Total magnetization: 0.00 μB per formula unit
Offset from the most stable computed form: 57 meV per atom
Mass density: 1.03 Mg/m³

***

3.
VASP calculation (PBE-GGA) on K4Rb2Na3 after structural relaxation.

a = 20.643 Å, b = 14.708 Å, c = 7.524 Å
α = 90.00°, β = 96.91°, γ = 90.00°
Space group C2/c (No. 15)
One atom of each set of equivalent atoms:
K: 0.057 0.122 0.016 (multiplicity 8)
K: 0.231 0.371 0.841 (multiplicity 8)
Rb: 0.111 0.377 0.312 (multiplicity 8)
Na: 0.000 0.364 0.750 (multiplicity 4)
Na: 0.163 0.120 0.592 (multiplicity 8)

Summary:
Crystal system: monoclinic
Calculated formation energy: 37.0 meV per atom
Total magnetization: 0.00 μB per formula unit
Offset from the most stable computed form: 0 meV per atom
Mass density: 1.16 Mg/m³

***

4.
VASP calculation (PBE-GGA) on K5RbNa after structural relaxation.

a = 6.234 Å, b = 6.234 Å, c = 13.493 Å
α = 90.00°, β = 90.00°, γ = 90.00°
Space group P4/mmm (No. 123)
One atom of each set of equivalent atoms:
K: 0.000 0.000 0.000 (multiplicity 1)
K: 0.000 0.500 0.233 (multiplicity 4)
Rb: 0.000 0.000 0.500 (multiplicity 1)
Na: 0.500 0.500 0.000 (multiplicity 1)

Summary:
Crystal system: tetragonal
Calculated formation energy: 53.5 meV per atom
Total magnetization: 0.00 μB per formula unit
Offset from the most stable computed form: 41 meV per atom
Mass density: 0.96 Mg/m³

***

5.
VASP calculation (PBE-GGA) on K4Rb3Na2 after structural relaxation.

a = 13.961 Å, b = 7.226 Å, c = 12.834 Å
α = 90.00°, β = 102.18°, γ = 90.00°
Space group C2/m (No. 12)
One atom of each set of equivalent atoms:
K: 0.053 0.000 0.177 (multiplicity 4)
K: 0.177 0.500 0.559 (multiplicity 4)
Rb: 0.000 0.000 0.500 (multiplicity 2)
Rb: 0.140 0.500 0.907 (multiplicity 4)
Na: 0.226 0.500 0.251 (multiplicity 4)

Summary:
Crystal system: monoclinic
Calculated formation energy: 40.7 meV per atom
Total magnetization: 0.00 μB per formula unit
Offset from the most stable computed form: 9 meV per atom
Mass density: 1.20 Mg/m³

***

6.
VASP calculation (PBE-GGA) on KRb3Na4 after structural relaxation.

a = 13.943 Å, b = 9.748 Å, c = 6.982 Å
α = 90.00°, β = 90.00°, γ = 90.00°
Space group Pmma (No. 51)
One atom of each set of equivalent atoms:
K: 0.000 0.000 0.000 (multiplicity 2)
Rb: 0.000 0.500 0.000 (multiplicity 2)
Rb: 0.250 0.000 0.479 (multiplicity 2)
Rb: 0.250 0.500 0.482 (multiplicity 2)
Na: 0.000 0.237 0.500 (multiplicity 4)
Na: 0.250 0.238 0.973 (multiplicity 4)

Summary:
Crystal system: orthorhombic
Calculated formation energy: 36.0 meV per atom
Total magnetization: 0.00 μB per formula unit
Offset from the most stable computed form: 0 meV per atom
Mass density: 1.36 Mg/m³

***

7.
VASP calculation (PBE-GGA) on K3Rb3Na after structural relaxation.

a = 12.270 Å, b = 7.684 Å, c = 12.485 Å
α = 90.00°, β = 118.91°, γ = 90.00°
Space group P2_1/m (No. 11)
One atom of each set of equivalent atoms:
K: 0.059 0.250 0.240 (multiplicity 2)
K: 0.175 0.250 0.934 (multiplicity 2)
K: 0.253 0.750 0.177 (multiplicity 2)
Rb: 0.099 0.750 0.477 (multiplicity 2)
Rb: 0.388 0.750 0.897 (multiplicity 2)
Rb: 0.474 0.250 0.388 (multiplicity 2)
Na: 0.330 0.250 0.668 (multiplicity 2)

Summary:
Crystal system: monoclinic
Calculated formation energy: 20.2 meV per atom
Total magnetization: 0.00 μB per formula unit
Offset from the most stable computed form: 0 meV per atom
Mass density: 1.28 Mg/m³

***

8.
VASP calculation (PBE-GGA) on K2Rb9Na4 after structural relaxation.

a = 7.3477 Å, b = 7.3477 Å, c = 23.0392 Å
α = 90.00°, β = 90.00°, γ = 120.00°
Space group P-3m1 (No. 164)
One atom of each set of equivalent atoms:
K: 0.3333 0.6667 0.2775 (multiplicity 2)
Rb: 0.0000 0.0000 0.0000 (multiplicity 1)
Rb: 0.0000 0.0000 0.1961 (multiplicity 2)
Rb: 0.0000 0.0000 0.3895 (multiplicity 2)
Rb: 0.3333 0.6667 0.0718 (multiplicity 2)
Rb: 0.3333 0.6667 0.4824 (multiplicity 2)
Na: 0.3333 0.6667 0.6912 (multiplicity 2)
Na: 0.3333 0.6667 0.8618 (multiplicity 2)

Summary:
Crystal system: trigonal
Calculated formation energy: 39.4 meV per atom
Total magnetization: 0.00 μB per formula unit
Mass density: 1.45 Mg/m³

***

9.
VASP calculation (PBE-GGA) on K12Rb2Na after structural relaxation.

a = 8.725 Å, b = 8.725 Å, c = 30.691 Å
α = 90.00°, β = 90.00°, γ = 90.00°
Space group P4/nbm (No. 125, origin choice 2)
One atom of each set of equivalent atoms:
K: 0.000 0.000 0.082 (multiplicity 8)
K: 0.074 0.574 0.434 (multiplicity 8)
K: 0.250 0.250 0.191 (multiplicity 4)
K: 0.250 0.250 0.331 (multiplicity 4)
Rb: 0.250 0.750 0.261 (multiplicity 4)
Na: 0.250 0.750 0.000 (multiplicity 2)

Summary:
Crystal system: tetragonal
Calculated formation energy: 62.3 meV per atom
Total magnetization: 0.00 μB per formula unit
Mass density: 0.94 Mg/m³

***

10.
VASP calculation (PBE-GGA) on K4Rb6Na after structural relaxation.

a = 14.7387 Å, b = 14.7387 Å, c = 4.7164 Å
α = 90.00°, β = 90.00°, γ = 120.00°
Space group P-6m2 (No. 187)
One atom of each set of equivalent atoms:
K: 0.0000 0.0000 0.0000 (multiplicity 1)
K: 0.0516 0.5258 0.5000 (multiplicity 3)
Rb: 0.1493 0.2987 0.5000 (multiplicity 3)
Rb: 0.4182 0.2091 0.0000 (multiplicity 3)
Na: 0.3333 0.6667 0.0000 (multiplicity 1)

Summary:
Crystal system: hexagonal
Calculated formation energy: 47.4 meV per atom
Total magnetization: 0.00 μB per formula unit
Mass density: 1.30 Mg/m³

***

11.
VASP calculation (PBE-GGA) on K5RbNa8 after structural relaxation.

a = 10.640 Å, b = 10.640 Å, c = 13.662 Å
α = 90.00°, β = 90.00°, γ = 90.00°
Space group I-4 (No. 82)
One atom of each set of equivalent atoms:
K: 0.000 0.000 0.000 (multiplicity 2)
K: 0.150 0.245 0.549 (multiplicity 8)
Rb: 0.000 0.500 0.250 (multiplicity 2)
Na: 0.082 0.137 0.264 (multiplicity 8)
Na: 0.090 0.320 0.829 (multiplicity 8)

Summary:
Crystal system: tetragonal
Calculated formation energy: 51.1 meV per atom
Total magnetization: 0.00 μB per formula unit
Mass density: 1.00 Mg/m³

***

12.
VASP calculation (PBE-GGA) on K10RbNa2 after structural relaxation.

a = 8.130 Å, b = 21.012 Å, c = 21.080 Å
α = 90.00°, β = 90.00°, γ = 90.00°
Space group Fmmm (No. 69)
One atom of each set of equivalent atoms:
K: 0.000 0.101 0.111 (multiplicity 16)
K: 0.000 0.168 0.318 (multiplicity 16)
K: 0.250 0.250 0.000 (multiplicity 8)
Rb: 0.000 0.000 0.500 (multiplicity 4)
Na: 0.250 0.000 0.250 (multiplicity 8)

Summary:
Crystal system: orthorhombic
Calculated formation energy: 27.5 meV per atom
Total magnetization: 0.00 μB per formula unit
Offset from the most stable computed form: 6 meV per atom
Mass density: 0.96 Mg/m³

***

- Look up the calculated formation energy of the tenth one.
  47.4 meV per atom

***

- What is the formula in the seventh record?
  K3Rb3Na